Run w
The following is a DFT calculation (PBE) of an optimized crystal structure of Cs3RbCd.

## Properties
* crystal system: tetragonal

Lattice parameters (Å, degrees): 16.8807 16.8807 5.8675 90.00 90.00 90.00
Closest atoms and distances in Å follow each position.
Fractional positions:
Cs 0.0011 0.3175 0.0000  1 Cd 4.40, 2 Rb 4.83
Cs 0.1017 0.8983 0.5000  4 Cd 4.11
Cs 0.1825 0.5011 0.5000  1 Cd 4.40, 2 Rb 4.83
Cs 0.3175 0.0011 0.0000  1 Cd 4.40, 2 Rb 4.83
Cs 0.3983 0.3983 0.0000  4 Cd 4.11
Cs 0.4989 0.8175 0.5000  1 Cd 4.40, 2 Rb 4.83
Cs 0.5011 0.1825 0.5000  1 Cd 4.40, 2 Rb 4.83
Cs 0.6017 0.6017 0.0000  4 Cd 4.11
Cs 0.6825 0.9989 0.0000  1 Cd 4.40, 2 Rb 4.83
Cs 0.8175 0.4989 0.5000  1 Cd 4.40, 2 Rb 4.83
Cs 0.8983 0.1017 0.5000  4 Cd 4.11
Cs 0.9989 0.6825 0.0000  1 Cd 4.40, 2 Rb 4.83
Rb 0.1886 0.1886 0.5000  2 Cd 4.16
Rb 0.3114 0.6886 0.0000  2 Cd 4.16
Rb 0.6886 0.3114 0.0000  2 Cd 4.16
Rb 0.8114 0.8114 0.5000  2 Cd 4.16
Cd 0.0648 0.0648 0.0000  1 Cd 3.10
Cd 0.4352 0.5648 0.5000  1 Cd 3.10
Cd 0.5648 0.4352 0.5000  1 Cd 3.10
Cd 0.9352 0.9352 0.0000  1 Cd 3.10

Run x
The following is a DFT calculation (PBE) of an optimized crystal structure of Cs3RbCd.

## Properties
* crystal system: cubic

Lattice parameters (Å, degrees): 8.8663 8.8663 8.8663 90.00 90.00 90.00
Closest atoms and distances in Å follow each position.
Fractional positions:
Cs 0.0000 0.0000 0.5000  2 Rb 4.43
Cs 0.0000 0.5000 0.0000  2 Rb 4.43
Cs 0.5000 0.0000 0.0000  2 Rb 4.43
Rb 0.0000 0.0000 0.0000  6 Cs 4.43
Cd 0.5000 0.5000 0.5000  none within 6

Run y
The following is a DFT calculation (PBE) of an optimized crystal structure of Cs3RbCd.

## Properties
* crystal system: cubic

Lattice parameters (Å, degrees): 7.7283 7.7283 7.7283 90.00 90.00 90.00
Closest atoms and distances in Å follow each position.
Fractional positions:
Cs 0.0000 0.0000 0.5000  2 Cd 3.86
Cs 0.0000 0.5000 0.0000  2 Cd 3.86
Cs 0.5000 0.0000 0.0000  2 Cd 3.86
Rb 0.5000 0.5000 0.5000  12 Cs 5.46
Cd 0.0000 0.0000 0.0000  6 Cs 3.86

Most stable structure - run w; separation to the second - 31 meV/atom.